Density functional theory data (PBE with a Hubbard U) for an optimized crystal structure of BaSmNi4O12.

a b c (Å): 5.466 5.466 7.686
angles (deg): 90.00 90.00 90.00
Positions (direct):
O1 0.235 0.765 0.730
O2 0.000 0.500 0.500
O3 0.765 0.765 0.730
O4 0.500 0.000 0.500
O5 0.235 0.765 0.270
O6 0.235 0.235 0.270
O7 0.500 0.000 0.000
O8 0.765 0.235 0.270
O9 0.235 0.235 0.730
O10 0.000 0.500 0.000
O11 0.765 0.235 0.730
O12 0.765 0.765 0.270
Ni1 0.500 0.000 0.251
Ni2 0.000 0.500 0.749
Ni3 0.500 0.000 0.749
Ni4 0.000 0.500 0.251
Sm1 0.000 0.000 0.500
Ba1 0.500 0.500 0.000

Total energy   -4.990 eV per atom